# 1
! RbNaCa2Cd (PBE, relaxed); values from VASP
! Size of the total moment in μB/cell: 0.00
! Density in g/cm3: 2.12
! Calculated formation energy in eV per atom: 0.065
&SYSTEM
  ibrav = 0, nat = 5, ntyp = 4
/
ATOMIC_SPECIES
Rb 85.47 Rb.upf
Na 22.99 Na.upf
Ca 40.08 Ca.upf
Cd 112.41 Cd.upf
ATOMIC_POSITIONS crystal
Rb 0.000 0.000 0.000
Na 0.500 0.500 0.000
Ca 0.000 0.500 0.500
Ca 0.500 0.000 0.500
Cd 0.500 0.500 0.500
CELL_PARAMETERS angstrom
6.136 0.000 0.000
0.000 6.136 0.000
0.000 0.000 6.264

***

# 2
! Ba2ZnCoB (PBE, relaxed); values from VASP
! Size of the total moment in μB/cell: 1.80
! Density in g/cm3: 4.71
! Calculated formation energy in eV per atom: 0.536
&SYSTEM
  ibrav = 0, nat = 5, ntyp = 4
/
ATOMIC_SPECIES
Ba 137.33 Ba.upf
Zn 65.41 Zn.upf
Co 58.93 Co.upf
B 10.81 B.upf
ATOMIC_POSITIONS crystal
Ba 0.000 0.500 0.000
Ba 0.500 0.000 0.000
Zn 0.000 0.000 0.500
Co 0.500 0.500 0.500
B 0.000 0.000 0.000
CELL_PARAMETERS angstrom
6.008 0.000 0.000
0.000 6.008 0.000
0.000 0.000 4.005

***

# 3
! BeNi (PBE, relaxed); values from VASP
! Size of the total moment in μB/cell: 0.00
! Density in g/cm3: 5.96
! Calculated formation energy in eV per atom: -0.199
&SYSTEM
  ibrav = 0, nat = 16, ntyp = 2
/
ATOMIC_SPECIES
Be 9.01 Be.upf
Ni 58.69 Ni.upf
ATOMIC_POSITIONS crystal
Be 0.125 0.125 0.125
Be 0.125 0.625 0.625
Be 0.375 0.375 0.875
Be 0.375 0.875 0.375
Be 0.625 0.125 0.625
Be 0.625 0.625 0.125
Be 0.875 0.375 0.375
Be 0.875 0.875 0.875
Ni 0.125 0.125 0.625
Ni 0.125 0.625 0.125
Ni 0.375 0.375 0.375
Ni 0.375 0.875 0.875
Ni 0.625 0.125 0.125
Ni 0.625 0.625 0.625
Ni 0.875 0.375 0.875
Ni 0.875 0.875 0.375
CELL_PARAMETERS angstrom
5.324 0.000 0.000
0.000 5.324 0.000
0.000 0.000 5.324

***

# 4
! TiOsF2 (PBE, relaxed); values from VASP
! Size of the total moment in μB/cell: 7.88
! ΔE to the lowest computed polymorph in meV per atom: 1021
! Density in g/cm3: 8.73
&SYSTEM
  ibrav = 0, nat = 16, ntyp = 3
/
ATOMIC_SPECIES
Ti 47.87 Ti.upf
Os 190.23 Os.upf
F 19.00 F.upf
ATOMIC_POSITIONS crystal
Ti 0.000 0.000 0.000
Ti 0.000 0.500 0.500
Ti 0.500 0.000 0.500
Ti 0.500 0.500 0.000
Os 0.000 0.000 0.500
Os 0.000 0.500 0.000
Os 0.500 0.000 0.000
Os 0.500 0.500 0.500
F 0.250 0.250 0.250
F 0.250 0.250 0.750
F 0.250 0.750 0.250
F 0.250 0.750 0.750
F 0.750 0.250 0.250
F 0.750 0.250 0.750
F 0.750 0.750 0.250
F 0.750 0.750 0.750
CELL_PARAMETERS angstrom
5.944 0.000 0.000
0.000 5.944 0.000
0.000 0.000 5.944

***

# 5
! CaLa2Pr6Dy (PBE, relaxed); values from VASP
! Size of the total moment in μB/cell: 0.00
! Density in g/cm3: 6.01
! Calculated formation energy in eV per atom: 0.115
&SYSTEM
  ibrav = 0, nat = 20, ntyp = 4
/
ATOMIC_SPECIES
Ca 40.08 Ca.upf
La 138.91 La.upf
Pr 140.91 Pr.upf
Dy 162.50 Dy.upf
ATOMIC_POSITIONS crystal
Ca 0.103 0.897 0.750
Ca 0.897 0.103 0.250
La 0.201 0.294 0.956
La 0.294 0.201 0.456
La 0.706 0.799 0.544
La 0.799 0.706 0.044
Pr 0.006 0.219 0.626
Pr 0.086 0.533 0.174
Pr 0.219 0.006 0.126
Pr 0.263 0.620 0.551
Pr 0.380 0.737 0.949
Pr 0.467 0.914 0.326
Pr 0.533 0.086 0.674
Pr 0.620 0.263 0.051
Pr 0.737 0.380 0.449
Pr 0.781 0.994 0.874
Pr 0.914 0.467 0.826
Pr 0.994 0.781 0.374
Dy 0.481 0.519 0.250
Dy 0.519 0.481 0.750
CELL_PARAMETERS angstrom
4.651 -7.839 0.000
4.651 7.839 0.000
-2.006 0.000 10.051

***

# 6
! Ac2AuS (PBE, relaxed); values from VASP
! Size of the total moment in μB/cell: 0.00
! ΔE to the lowest computed polymorph in meV per atom: 197
! Density in g/cm3: 10.20
&SYSTEM
  ibrav = 0, nat = 4, ntyp = 3
/
ATOMIC_SPECIES
Ac 227.00 Ac.upf
Au 196.97 Au.upf
S 32.06 S.upf
ATOMIC_POSITIONS crystal
Ac 0.000 0.000 0.242
Ac 0.000 0.000 0.758
Au 0.500 0.500 0.500
S 0.500 0.500 0.000
CELL_PARAMETERS angstrom
3.773 0.000 0.000
0.000 3.773 0.000
0.000 0.000 7.811

***

# 7
! LiLaAl2 (PBE, relaxed); values from VASP
! Size of the total moment in μB/cell: 0.00
! ΔE to the lowest computed polymorph in meV per atom: 366
! Density in g/cm3: 3.61
! Calculated formation energy in eV per atom: 0.101
&SYSTEM
  ibrav = 0, nat = 8, ntyp = 3
/
ATOMIC_SPECIES
Li 6.94 Li.upf
La 138.91 La.upf
Al 26.98 Al.upf
ATOMIC_POSITIONS crystal
Li 0.000 0.000 0.000
Li 0.500 0.500 0.000
La 0.000 0.500 0.688
La 0.500 0.000 0.688
Al 0.000 0.000 0.427
Al 0.000 0.500 0.219
Al 0.500 0.000 0.219
Al 0.500 0.500 0.427
CELL_PARAMETERS angstrom
3.440 0.000 0.000
0.000 5.208 0.000
0.000 0.000 10.255

***

# 8
! Sm5TePd2 (PBE, relaxed); values from VASP
! Size of the total moment in μB/cell: 0.00
! Density in g/cm3: 8.26
! Final energy in eV/cell: -86.19
&SYSTEM
  ibrav = 0, nat = 16, ntyp = 3
/
ATOMIC_SPECIES
Sm 150.36 Sm.upf
Te 127.60 Te.upf
Pd 106.42 Pd.upf
ATOMIC_POSITIONS crystal
Sm 0.000 0.000 0.000
Sm 0.014 0.514 0.810
Sm 0.204 0.014 0.500
Sm 0.296 0.796 0.810
Sm 0.486 0.296 0.500
Sm 0.500 0.500 0.000
Sm 0.514 0.704 0.500
Sm 0.704 0.204 0.190
Sm 0.796 0.986 0.500
Sm 0.986 0.486 0.190
Te 0.250 0.250 0.000
Te 0.750 0.750 0.000
Pd 0.135 0.365 0.500
Pd 0.365 0.865 0.230
Pd 0.635 0.135 0.770
Pd 0.865 0.635 0.500
CELL_PARAMETERS angstrom
-4.002 4.002 6.856
4.002 -4.002 6.856
4.002 4.002 -6.856

***

# 9
! SiRh2Pb (PBE, relaxed); values from VASP
! Size of the total moment in μB/cell: 0.00
! ΔE to the lowest computed polymorph in meV per atom: 278
! Density in g/cm3: 10.07
&SYSTEM
  ibrav = 0, nat = 4, ntyp = 3
/
ATOMIC_SPECIES
Si 28.09 Si.upf
Rh 102.91 Rh.upf
Pb 207.20 Pb.upf
ATOMIC_POSITIONS crystal
Si 0.000 0.000 0.000
Rh 0.430 0.000 0.662
Rh 0.968 0.500 0.835
Pb 0.513 0.500 0.317
CELL_PARAMETERS angstrom
3.463 0.000 0.000
0.000 4.529 0.000
-0.647 0.000 4.638

***

# 10
! La2Pr2RuAu2 (PBE, relaxed); values from VASP
! Size of the total moment in μB/cell: 0.00
! Density in g/cm3: 8.32
! Calculated formation energy in eV per atom: -0.483
&SYSTEM
  ibrav = 0, nat = 7, ntyp = 4
/
ATOMIC_SPECIES
La 138.91 La.upf
Pr 140.91 Pr.upf
Ru 101.07 Ru.upf
Au 196.97 Au.upf
ATOMIC_POSITIONS crystal
La 0.202 0.401 0.235
La 0.798 0.599 0.765
Pr 0.472 0.942 0.239
Pr 0.528 0.058 0.761
Ru 0.000 0.000 0.000
Au 0.123 0.248 0.564
Au 0.877 0.752 0.436
CELL_PARAMETERS angstrom
4.068 0.000 0.000
-2.033 7.413 0.000
-0.003 -3.282 6.977

***

# 11
! NaReI2N (PBE, relaxed); values from VASP
! Size of the total moment in μB/cell: 0.23
! ΔE to the lowest computed polymorph in meV per atom: 0
! Density in g/cm3: 6.36
&SYSTEM
  ibrav = 0, nat = 5, ntyp = 4
/
ATOMIC_SPECIES
Na 22.99 Na.upf
Re 186.21 Re.upf
I 126.90 I.upf
N 14.01 N.upf
ATOMIC_POSITIONS crystal
Na 0.000 0.000 0.000
Re 0.500 0.500 0.500
I 0.000 0.500 0.500
I 0.500 0.000 0.500
N 0.500 0.500 0.000
CELL_PARAMETERS angstrom
5.718 0.000 0.000
0.000 5.718 0.000
0.000 0.000 3.811

***

# 12
! NbBiH2Pd (PBE, relaxed); values from VASP
! Size of the total moment in μB/cell: 2.09
! Density in g/cm3: 7.67
! Final energy in eV/cell: -21.61
&SYSTEM
  ibrav = 0, nat = 5, ntyp = 4
/
ATOMIC_SPECIES
Nb 92.91 Nb.upf
Bi 208.98 Bi.upf
H 1.01 H.upf
Pd 106.42 Pd.upf
ATOMIC_POSITIONS crystal
Nb 0.000 0.000 0.000
Bi 0.500 0.500 0.500
H 0.000 0.500 0.500
H 0.500 0.000 0.500
Pd 0.500 0.500 0.000
CELL_PARAMETERS angstrom
3.904 0.000 0.000
0.000 3.904 0.000
0.000 0.000 5.829

***

# 13
! Ca2CoHAu (PBE, relaxed); values from VASP
! Size of the total moment in μB/cell: 0.51
! Density in g/cm3: 6.32
! Final energy in eV/cell: -19.26
&SYSTEM
  ibrav = 0, nat = 5, ntyp = 4
/
ATOMIC_SPECIES
Ca 40.08 Ca.upf
Co 58.93 Co.upf
H 1.01 H.upf
Au 196.97 Au.upf
ATOMIC_POSITIONS crystal
Ca 0.000 0.500 0.000
Ca 0.500 0.000 0.000
Co 0.000 0.000 0.500
H 0.000 0.000 0.000
Au 0.500 0.500 0.500
CELL_PARAMETERS angstrom
5.052 0.000 0.000
0.000 5.052 0.000
0.000 0.000 3.470